The following is a PBE calculation of DyThOs after structural relaxation, from the Alexandria database.

ΔE to the lowest computed polymorph: 133 meV per atom
formation energy from the elements: -0.1393 eV per atom

Cell and atoms, written as CIF:
```
data_DyThOs
_cell_length_a 7.183
_cell_length_b 7.183
_cell_length_c 7.183
_cell_angle_alpha 152.50
_cell_angle_beta 152.50
_cell_angle_gamma 39.28
_symmetry_space_group_name_H-M 'P 1'
_symmetry_Int_Tables_number 1
loop_
_symmetry_equiv_pos_as_xyz
'x,y,z'
loop_
_atom_site_label
_atom_site_fract_x
_atom_site_fract_y
_atom_site_fract_z
_atom_site_occupancy
Dy1 0.000 0.000 0.000 1
Th1 0.258 0.258 0.000 1
Os1 0.629 0.629 0.000 1
```

=====

The following is a PBE calculation of Cs2SiHg2 after structural relaxation, from the Alexandria database.

ΔE to the lowest computed polymorph: 0 meV per atom
energy relative to the elements, uncorrected: 0.09 eV/atom

Cell and atoms, written as CIF:
```
data_Cs2SiHg2
_cell_length_a 7.686
_cell_length_b 7.686
_cell_length_c 6.113
_cell_angle_alpha 90.00
_cell_angle_beta 90.00
_cell_angle_gamma 90.00
_symmetry_space_group_name_H-M 'P 1'
_symmetry_Int_Tables_number 1
loop_
_symmetry_equiv_pos_as_xyz
'x,y,z'
loop_
_atom_site_label
_atom_site_fract_x
_atom_site_fract_y
_atom_site_fract_z
_atom_site_occupancy
Cs1 0.175 0.325 0.000 1
Cs2 0.325 0.825 0.000 1
Cs3 0.675 0.175 0.000 1
Cs4 0.825 0.675 0.000 1
Si1 0.000 0.000 0.500 1
Si2 0.500 0.500 0.500 1
Hg1 0.155 0.655 0.500 1
Hg2 0.345 0.155 0.500 1
Hg3 0.655 0.845 0.500 1
Hg4 0.845 0.345 0.500 1
```

=====

The following is a PBE calculation of YScCo2Rh after structural relaxation, from the Alexandria database.

ΔE to the lowest computed polymorph: 0 meV per atom
formation energy from the elements: 0.3274 eV per atom

Cell and atoms, written as CIF:
```
data_YScCo2Rh
_cell_length_a 4.746
_cell_length_b 4.746
_cell_length_c 4.599
_cell_angle_alpha 90.00
_cell_angle_beta 90.00
_cell_angle_gamma 90.00
_symmetry_space_group_name_H-M 'P 1'
_symmetry_Int_Tables_number 1
loop_
_symmetry_equiv_pos_as_xyz
'x,y,z'
loop_
_atom_site_label
_atom_site_fract_x
_atom_site_fract_y
_atom_site_fract_z
_atom_site_occupancy
Y1 0.000 0.000 0.000 1
Sc1 0.500 0.500 0.000 1
Co1 0.000 0.500 0.500 1
Co2 0.500 0.000 0.500 1
Rh1 0.500 0.500 0.500 1
```

=====

The following is a PBE calculation of HgSb2Se after structural relaxation, from the Alexandria database.

ΔE to the lowest computed polymorph: 147 meV per atom
energy relative to the elements, uncorrected: 0.14 eV/atom

Cell and atoms, written as CIF:
```
data_HgSb2Se
_cell_length_a 3.622
_cell_length_b 4.451
_cell_length_c 7.381
_cell_angle_alpha 90.00
_cell_angle_beta 90.00
_cell_angle_gamma 90.00
_symmetry_space_group_name_H-M 'P 1'
_symmetry_Int_Tables_number 1
loop_
_symmetry_equiv_pos_as_xyz
'x,y,z'
loop_
_atom_site_label
_atom_site_fract_x
_atom_site_fract_y
_atom_site_fract_z
_atom_site_occupancy
Hg1 0.000 0.000 0.000 1
Sb1 0.000 0.000 0.517 1
Sb2 0.500 0.500 0.314 1
Se1 0.500 0.500 0.674 1
```

=====

The following is a PBE calculation of Na2CaICl after structural relaxation, from the Alexandria database.

energy relative to the elements, uncorrected: -0.38 eV/atom

Cell and atoms, written as CIF:
```
data_Na2CaICl
_cell_length_a 6.887
_cell_length_b 6.887
_cell_length_c 5.791
_cell_angle_alpha 90.00
_cell_angle_beta 90.00
_cell_angle_gamma 90.00
_symmetry_space_group_name_H-M 'P 1'
_symmetry_Int_Tables_number 1
loop_
_symmetry_equiv_pos_as_xyz
'x,y,z'
loop_
_atom_site_label
_atom_site_fract_x
_atom_site_fract_y
_atom_site_fract_z
_atom_site_occupancy
Na1 0.000 0.500 0.000 1
Na2 0.500 0.000 0.000 1
Ca1 0.000 0.000 0.000 1
I1 0.000 0.000 0.500 1
Cl1 0.500 0.500 0.500 1
```

=====

The following is a PBE calculation of YMnSb2 after structural relaxation, from the Alexandria database.

energy relative to the elements, uncorrected: 0.05 eV/atom

Cell and atoms, written as CIF:
```
data_YMnSb2
_cell_length_a 4.960
_cell_length_b 4.960
_cell_length_c 4.960
_cell_angle_alpha 60.00
_cell_angle_beta 60.00
_cell_angle_gamma 60.00
_symmetry_space_group_name_H-M 'P 1'
_symmetry_Int_Tables_number 1
loop_
_symmetry_equiv_pos_as_xyz
'x,y,z'
loop_
_atom_site_label
_atom_site_fract_x
_atom_site_fract_y
_atom_site_fract_z
_atom_site_occupancy
Y1 0.000 0.000 0.000 1
Mn1 0.500 0.500 0.500 1
Sb1 0.250 0.250 0.250 1
Sb2 0.750 0.750 0.750 1
```